No. 1
This record from Alexandria via LeMat-Bulk describes a relaxed structure of NpIn2Br3F3. The functional is PBE.

Summary:
The raw total energy comes out at -5.041 eV per atom. The formation energy without anion corrections comes out at -1.813 eV/atom. The volume comes out at 24.40 A^3/atom.

a b c (Å): 8.266 8.266 3.711
angles (deg): 90.00 90.00 120.00
Sites, in units of the cell vectors:
Np1 0.000 0.000 0.000
In1 0.333 0.667 0.500
In2 0.667 0.333 0.500
Br1 0.000 0.377 0.000
Br2 0.377 0.000 0.000
Br3 0.623 0.623 0.000
F1 0.000 0.821 0.500
F2 0.179 0.179 0.500
F3 0.821 0.000 0.500

No. 2
This record from Alexandria via LeMat-Bulk describes a relaxed structure of InBrO2F. The functional is PBE.

Summary:
The raw total energy comes out at -3.761 eV per atom. The formation energy without anion corrections comes out at -0.521 eV/atom. The volume comes out at 15.95 A^3/atom.

a b c (Å): 4.344 4.344 4.224
angles (deg): 90.00 90.00 90.00
Sites, in units of the cell vectors:
In1 0.000 0.000 0.000
Br1 0.500 0.500 0.500
O1 0.000 0.500 0.000
O2 0.500 0.000 0.000
F1 0.000 0.000 0.500

No. 3
This record from Alexandria via LeMat-Bulk describes a relaxed structure of InBrOF2. The functional is PBE.

Summary:
The raw total energy comes out at -3.113 eV per atom. For the energy above the lowest structure with this stoichiometry, the calculation gives 611 meV/atom. The formation energy without anion corrections comes out at -0.490 eV/atom. The volume comes out at 17.87 A^3/atom.

a b c (Å): 4.701 4.701 4.043
angles (deg): 90.00 90.00 90.00
Sites, in units of the cell vectors:
In1 0.000 0.000 0.000
Br1 0.500 0.500 0.500
O1 0.500 0.500 0.000
F1 0.000 0.500 0.500
F2 0.500 0.000 0.500

No. 4
This record from Alexandria via LeMat-Bulk describes a relaxed structure of InBrOF2. The functional is PBE.

Summary:
The raw total energy comes out at -3.723 eV per atom. For the energy above the lowest structure with this stoichiometry, the calculation gives 0 meV/atom. The formation energy without anion corrections comes out at -1.101 eV/atom. The volume comes out at 15.66 A^3/atom.

a b c (Å): 4.153 4.153 4.540
angles (deg): 90.00 90.00 90.00
Sites, in units of the cell vectors:
In1 0.000 0.000 0.000
Br1 0.500 0.500 0.500
O1 0.000 0.000 0.500
F1 0.000 0.500 0.000
F2 0.500 0.000 0.000

No. 5
This record from Alexandria via LeMat-Bulk describes a relaxed structure of InBrO2F. The functional is PBE.

Summary:
The raw total energy comes out at -3.425 eV per atom. The formation energy without anion corrections comes out at -0.185 eV/atom. The volume comes out at 17.06 A^3/atom.

a b c (Å): 3.849 3.849 5.756
angles (deg): 90.00 90.00 90.00
Sites, in units of the cell vectors:
In1 0.000 0.000 0.000
Br1 0.500 0.500 0.500
O1 0.000 0.500 0.500
O2 0.500 0.000 0.500
F1 0.500 0.500 0.000

No. 6
This record from Alexandria via LeMat-Bulk describes a relaxed structure of InPbBr2F. The functional is PBE.

Summary:
The raw total energy comes out at -3.489 eV per atom. For the energy above the lowest structure with this stoichiometry, the calculation gives 73 meV/atom. The formation energy without anion corrections comes out at -1.156 eV/atom. The volume comes out at 34.47 A^3/atom.

a b c (Å): 6.053 6.053 4.703
angles (deg): 90.00 90.00 90.00
Sites, in units of the cell vectors:
In1 0.000 0.000 0.000
Pb1 0.500 0.500 0.500
Br1 0.000 0.500 0.500
Br2 0.500 0.000 0.500
F1 0.500 0.500 0.000

No. 7
This record from Alexandria via LeMat-Bulk describes a relaxed structure of InPb2BrF. The functional is PBE.

Summary:
The raw total energy comes out at -3.323 eV per atom. The formation energy without anion corrections comes out at -0.583 eV/atom. The volume comes out at 29.38 A^3/atom.

a b c (Å): 4.956 4.956 5.980
angles (deg): 90.00 90.00 90.00
Sites, in units of the cell vectors:
In1 0.000 0.000 0.000
Pb1 0.000 0.500 0.500
Pb2 0.500 0.000 0.500
Br1 0.500 0.500 0.000
F1 0.500 0.500 0.500

No. 8
This record from Alexandria via LeMat-Bulk describes a relaxed structure of InPbBrF2. The functional is PBE.

Summary:
The raw total energy comes out at -4.041 eV per atom. The formation energy without anion corrections comes out at -1.668 eV/atom. The volume comes out at 26.36 A^3/atom.

a b c (Å): 7.411 4.263 8.782
angles (deg): 90.00 108.20 90.00
Sites, in units of the cell vectors:
In1 0.199 0.250 0.433
In2 0.801 0.750 0.567
Pb1 0.196 0.250 0.931
Pb2 0.804 0.750 0.069
Br1 0.437 0.750 0.180
Br2 0.563 0.250 0.820
F1 0.005 0.750 0.882
F2 0.022 0.250 0.637
F3 0.978 0.750 0.363
F4 0.995 0.250 0.118

No. 9
This record from Alexandria via LeMat-Bulk describes a relaxed structure of InPbBr2F. The functional is PBE.

Summary:
The raw total energy comes out at -3.562 eV per atom. For the energy above the lowest structure with this stoichiometry, the calculation gives 0 meV/atom. The formation energy without anion corrections comes out at -1.229 eV/atom. The volume comes out at 31.12 A^3/atom.

a b c (Å): 8.195 4.508 8.424
angles (deg): 90.00 90.39 90.00
Sites, in units of the cell vectors:
In1 0.250 0.250 0.048
In2 0.750 0.750 0.952
Pb1 0.250 0.750 0.633
Pb2 0.750 0.250 0.367
Br1 0.002 0.250 0.702
Br2 0.498 0.250 0.702
Br3 0.502 0.750 0.298
Br4 0.998 0.750 0.298
F1 0.250 0.750 0.905
F2 0.750 0.250 0.095

No. 10
This record from Alexandria via LeMat-Bulk describes a relaxed structure of RbInBr2F. The functional is PBE.

Summary:
The raw total energy comes out at -2.151 eV per atom. For the energy above the lowest structure with this stoichiometry, the calculation gives 1190 meV/atom. The formation energy without anion corrections comes out at -0.367 eV/atom. The volume comes out at 50.95 A^3/atom.

a b c (Å): 6.121 6.121 6.799
angles (deg): 90.00 90.00 90.00
Sites, in units of the cell vectors:
Rb1 0.000 0.000 0.000
In1 0.000 0.000 0.500
Br1 0.000 0.500 0.000
Br2 0.500 0.000 0.000
F1 0.500 0.500 0.500

No. 11
This record from Alexandria via LeMat-Bulk describes a relaxed structure of Rb2InBr6F. The functional is PBE.

Summary:
The raw total energy comes out at -2.640 eV per atom. The formation energy without anion corrections comes out at -0.982 eV/atom. The volume comes out at 33.11 A^3/atom.

a b c (Å): 8.003 8.003 8.003
angles (deg): 125.00 125.00 81.55
Sites, in units of the cell vectors:
Rb1 0.250 0.750 0.500
Rb2 0.750 0.250 0.500
In1 0.000 0.000 0.000
Br1 0.225 0.225 0.000
Br2 0.257 0.257 0.514
Br3 0.257 0.743 0.000
Br4 0.743 0.257 0.000
Br5 0.743 0.743 0.486
Br6 0.775 0.775 0.000
F1 0.500 0.500 0.000

No. 12
This record from Alexandria via LeMat-Bulk describes a relaxed structure of RbInBr2F. The functional is PBE.

Summary:
The raw total energy comes out at -3.342 eV per atom. For the energy above the lowest structure with this stoichiometry, the calculation gives 0 meV/atom. The formation energy without anion corrections comes out at -1.557 eV/atom. The volume comes out at 30.82 A^3/atom.

a b c (Å): 5.827 5.827 4.538
angles (deg): 90.00 90.00 90.00
Sites, in units of the cell vectors:
Rb1 0.000 0.000 0.000
In1 0.500 0.500 0.500
Br1 0.000 0.500 0.500
Br2 0.500 0.000 0.500
F1 0.500 0.500 0.000